No. 1
CuAgAuI5: relaxed, GGA-PBE.

Calculated values
Fermi-level density of states = 3.141 states/eV/f.u.
total moment = 0.000 μB per atom
crystal system = monoclinic
formation energy without anion corrections = -0.62 eV per formula unit

POSCAR file:
```
CuAgAuI5
1.0
5.8140 -5.4633 0.0000
5.8140 5.4633 0.0000
-5.5177 0.0000 9.9170
Cu Ag Au I
2 2 2 10
Direct
0.1616 0.8384 0.7500
0.8384 0.1616 0.2500
0.1878 0.8122 0.2500
0.8122 0.1878 0.7500
0.5000 0.5000 0.0000
0.5000 0.5000 0.5000
0.1882 0.1888 0.8453
0.1888 0.1882 0.3453
0.2509 0.7397 0.9582
0.2603 0.7491 0.5418
0.4420 0.5581 0.2500
0.5581 0.4420 0.7500
0.7397 0.2509 0.4582
0.7491 0.2603 0.0418
0.8112 0.8118 0.6547
0.8118 0.8112 0.1547
```



No. 2
VTc2Ru: relaxed, GGA-PBE.

Calculated values
E above lowest polymorph = 0.00 eV per formula unit
Fermi-level density of states = 4.007 states/eV/f.u.
DFT formation energy = -1.4 kJ/mol of formula units
total moment = 0.000 μB per atom
crystal system = tetragonal

POSCAR file:
```
VTc2Ru
1.0
2.9885 0.0000 0.0000
0.0000 2.9885 0.0000
0.0000 0.0000 6.3503
V Tc Ru
1 2 1
Direct
0.0000 0.0000 0.0000
0.5000 0.5000 0.2315
0.5000 0.5000 0.7685
0.0000 0.0000 0.5000
```



No. 3
CoHgP2: relaxed, GGA-PBE.

Calculated values
Fermi-level density of states = 3.699 states/eV/f.u.
DFT formation energy = 42.1 kJ/mol of formula units
total moment = 0.156 μB per atom
crystal system = trigonal

POSCAR file:
```
CoHgP2
1.0
2.8876 0.0000 0.0000
-1.4438 2.5007 0.0000
0.0000 0.0000 28.9406
Co Hg P
3 3 6
Direct
0.0000 0.0000 0.0000
0.3333 0.6667 0.6667
0.6667 0.3333 0.3333
0.0000 0.0000 0.5000
0.3333 0.6667 0.1667
0.6667 0.3333 0.8333
0.0000 0.0000 0.2780
0.0000 0.0000 0.7220
0.3333 0.6667 0.3887
0.3333 0.6667 0.9447
0.6667 0.3333 0.0553
0.6667 0.3333 0.6113
```